VASP calculation (PBE with a Hubbard U) on crystalline LiSiNiF6 at its relaxed geometry.

Cell: 5.2170 5.2170 8.6309 Å, 90.00 90.00 120.00°
Fractional positions:
Li (0.0000, 0.0000, 0.0000)
Li (0.0000, 0.0000, 0.5000)
Si (0.3333, 0.6667, 0.2500)
Si (0.6667, 0.3333, 0.7500)
Ni (0.3333, 0.6667, 0.7500)
Ni (0.6667, 0.3333, 0.2500)
F (0.0687, 0.3894, 0.1349)
F (0.0687, 0.6793, 0.3651)
F (0.3207, 0.3894, 0.3651)
F (0.3207, 0.9313, 0.1349)
F (0.3894, 0.0687, 0.6349)
F (0.3894, 0.3207, 0.8651)
F (0.6106, 0.6793, 0.1349)
F (0.6106, 0.9313, 0.3651)
F (0.6793, 0.0687, 0.8651)
F (0.6793, 0.6106, 0.6349)
F (0.9313, 0.3207, 0.6349)
F (0.9313, 0.6106, 0.8651)

- calculated volume (Å³ per atom) = 11.30
- crystal system = trigonal
- calculated total energy (eV per atom) = -4.8116
- Fermi-level density of states (states/eV per cell) = 13.26